Entry 1:
DFT (PBE) results for a geometry-optimized Sc3CrSe structure.

For the energy above the lowest structure with this stoichiometry, the calculation gives 0 meV/atom.

The space group is Pm-3m (No. 221) and the conventional cell measures 5.0009, 5.0009 and 5.0009 Å, with angles of 90.00, 90.00 and 90.00 degrees. The asymmetric unit holds Sc at (0.0000, 0.0000, 0.5000), Cr at (0.5000, 0.5000, 0.5000) and Se at (0.0000, 0.0000, 0.0000).

***

Entry 2:
DFT (PBE) results for a geometry-optimized ScCrSe structure.

For the energy above the lowest structure with this stoichiometry, the calculation gives 0 meV/atom.

The space group is C2/m (No. 12) and the conventional cell measures 18.3977, 3.4633 and 3.7353 Å, with angles of 90.00, 93.22 and 90.00 degrees. The asymmetric unit holds Sc at (0.1081, 0.0000, 0.2297), Cr at (0.0291, 0.5000, 0.7134) and Se at (0.1659, 0.5000, 0.7347).

***

Entry 3:
DFT (PBE) results for a geometry-optimized ScCr2Se structure.

Its final energy is -7.173 eV/atom.

The space group is Immm (No. 71) and the conventional cell measures 3.2757, 4.4947 and 9.4960 Å, with angles of 90.00, 90.00 and 90.00 degrees. The asymmetric unit holds Sc at (0.0000, 0.0000, 0.0000), Cr at (0.0000, 0.5000, 0.2209) and Se at (0.0000, 0.0000, 0.5000).

***

Entry 4:
DFT (PBE) results for a geometry-optimized Sc2CrTeSe structure.

Its final energy is -5.197 eV/atom.

The space group is P4/mmm (No. 123) and the conventional cell measures 5.3439, 5.3439 and 5.5250 Å, with angles of 90.00, 90.00 and 90.00 degrees. The asymmetric unit holds Sc at (0.0000, 0.5000, 0.0000), Cr at (0.0000, 0.0000, 0.5000), Te at (0.5000, 0.5000, 0.0000) and Se at (0.5000, 0.5000, 0.5000).

***

Entry 5:
DFT (PBE) results for a geometry-optimized ScTiCrSe2 structure.

Its final energy is -6.172 eV/atom.

The space group is P4/mmm (No. 123) and the conventional cell measures 4.8752, 4.8752 and 4.2104 Å, with angles of 90.00, 90.00 and 90.00 degrees. The asymmetric unit holds Sc at (0.0000, 0.0000, 0.0000), Ti at (0.5000, 0.5000, 0.0000), Cr at (0.5000, 0.5000, 0.5000) and Se at (0.0000, 0.5000, 0.5000).

***

Entry 6:
DFT (PBE) results for a geometry-optimized ScTl3Cr2Se6 structure.

Its final energy is -5.185 eV/atom.

The space group is C2/m (No. 12) and the conventional cell measures 6.6855, 11.5634 and 7.9625 Å, with angles of 90.00, 106.33 and 90.00 degrees. The asymmetric unit holds Sc at (0.0000, 0.0000, 0.0000), Tl at (0.0000, 0.1598, 0.5000), Tl at (0.0000, 0.5000, 0.5000), Cr at (0.0000, 0.3331, 0.0000), Se at (0.2112, 0.5000, 0.1806) and Se at (0.2372, 0.1746, 0.1865).

***

Entry 7:
DFT (PBE) results for a geometry-optimized ScCrSi4 structure.

Its final energy is -6.212 eV/atom.

The space group is F-43m (No. 216) and the conventional cell measures 7.1199, 7.1199 and 7.1199 Å, with angles of 90.00, 90.00 and 90.00 degrees. The asymmetric unit holds Sc at (0.0000, 0.0000, 0.0000), Cr at (0.2500, 0.2500, 0.2500) and Si at (0.1243, 0.1243, 0.6243).

***

Entry 8:
DFT (PBE) results for a geometry-optimized ScCr2Si structure.

Its final energy is -7.608 eV/atom.

The space group is C2/m (No. 12) and the conventional cell measures 5.2948, 8.4588 and 2.6800 Å, with angles of 90.00, 112.36 and 90.00 degrees. The asymmetric unit holds Sc at (0.0000, 0.0000, 0.0000), Cr at (0.2500, 0.2500, 0.5000) and Si at (0.0000, 0.5000, 0.0000).

***

Entry 9:
DFT (PBE) results for a geometry-optimized ScCrSi2 structure.

For the energy above the lowest structure with this stoichiometry, the calculation gives 254 meV/atom.

The space group is R-3m (No. 166, hexagonal axes) and the conventional cell measures 3.3690, 3.3690 and 19.7750 Å, with angles of 90.00, 90.00 and 120.00 degrees. The asymmetric unit holds Sc at (0.0000, 0.0000, 0.0000), Cr at (0.0000, 0.0000, 0.5000) and Si at (0.0000, 0.0000, 0.2382).

***

Entry 10:
DFT (PBE) results for a geometry-optimized ScCr2Si structure.

Its final energy is -7.804 eV/atom.

The space group is C2/m (No. 12) and the conventional cell measures 8.7361, 3.0049 and 4.6704 Å, with angles of 90.00, 102.87 and 90.00 degrees. The asymmetric unit holds Sc at (0.0000, 0.0000, 0.0000), Cr at (0.2388, 0.0000, 0.6679) and Si at (0.0000, 0.5000, 0.5000).

***

Entry 11:
DFT (PBE) results for a geometry-optimized ScCrSi2 structure.

For the energy above the lowest structure with this stoichiometry, the calculation gives 553 meV/atom.

The space group is I-42d (No. 122) and the conventional cell measures 4.3326, 4.3326 and 16.2296 Å, with angles of 90.00, 90.00 and 90.00 degrees. The asymmetric unit holds Sc at (0.0000, 0.0000, 0.0000), Cr at (0.0000, 0.0000, 0.5000) and Si at (0.1157, 0.2500, 0.6250).

***

Entry 12:
DFT (PBE) results for a geometry-optimized Sc2CrSi2 structure.

Its final energy is -7.177 eV/atom.

The space group is P4/mbm (No. 127) and the conventional cell measures 6.4949, 6.4949 and 3.9294 Å, with angles of 90.00, 90.00 and 90.00 degrees. The asymmetric unit holds Sc at (0.1753, 0.3247, 0.0000), Cr at (0.0000, 0.0000, 0.5000) and Si at (0.1325, 0.6325, 0.5000).